The following is a GGA+U calculation of crystalline K3Cr2CdF9 at its relaxed geometry, from Alexandria.

Properties
Symmetry ... No. 164
Size of the total moment ... 0.533 μB/atom
VASP energy ... -4.958 eV/atom

```
15
Lattice="6.075 0.000 0.000 -3.037 5.261 0.000 0.000 0.000 7.459" Properties=species:S:1:pos:R:3 pbc="T T T"
K 0.000 3.507 4.962
K 0.000 0.000 0.000
K 3.037 1.754 2.497
Cr 0.000 3.507 1.165
Cr 3.037 1.754 6.294
Cd 0.000 0.000 3.730
F 4.502 0.908 5.065
F 3.037 3.445 5.065
F 1.572 0.908 5.065
F 1.465 4.353 2.394
F 0.000 1.816 2.394
F -1.465 4.353 2.394
F 3.037 0.000 0.000
F -1.519 2.630 0.000
F 1.519 2.630 0.000
```